No. 1
## GdYCu4 (GGA-PBEsol)

Data for GdYCu4 after structural relaxation.

a b c (Å): 4.255 6.706 7.222
angles (deg): 90.00 90.00 90.00
Space group Imm2 (No. 44)
One atom of each set of equivalent atoms:
Gd  0.000  0.000  0.000 [2 per cell]
Y  0.000  0.500  0.910 [2 per cell]
Cu  0.000  0.196  0.619 [4 per cell]
Cu  0.000  0.303  0.290 [4 per cell]

Computed properties:
- total magnetization (μB/atom) = 1.19
- Fermi-level density of states (states/eV per atom) = 0.638
- energy (eV/atom) = -6.6721



No. 2
## PPt2Se (GGA-PBEsol)

Data for PPt2Se after structural relaxation.

a b c (Å): 2.827 4.476 4.923
angles (deg): 90.00 90.00 90.00
Space group Pmmm (No. 47)
One atom of each set of equivalent atoms:
P  0.000  0.000  0.000 [1 per cell]
Pt  0.000  0.500  0.500 [1 per cell]
Pt  0.500  0.500  0.000 [1 per cell]
Se  0.500  0.000  0.500 [1 per cell]

Computed properties:
- polymorph energy (0 for the lowest one) (meV per atom) = 468
- total magnetization (μB/atom) = 0.00
- ΔE_f (raw) (meV/atom) = 265
- Fermi-level density of states (states/eV per atom) = 0.617
- energy (eV/atom) = -5.6274



No. 3
## BaTc2Rh (GGA-PBEsol)

Data for BaTc2Rh after structural relaxation.

a b c (Å): 3.110 3.110 7.867
angles (deg): 90.00 90.00 90.00
Space group P4mm (No. 99)
One atom of each set of equivalent atoms:
Ba  0.000  0.000  0.000 [1 per cell]
Tc  0.000  0.000  0.508 [1 per cell]
Tc  0.500  0.500  0.664 [1 per cell]
Rh  0.500  0.500  0.309 [1 per cell]

Computed properties:
- polymorph energy (0 for the lowest one) (meV per atom) = 0
- total magnetization (μB/atom) = 0.00
- Fermi-level density of states (states/eV per atom) = 1.049
- energy (eV/atom) = -7.7271



No. 4
## CsNbAsSe2 (GGA-PBEsol)

Data for CsNbAsSe2 after structural relaxation.

a b c (Å): 5.127 5.127 5.064
angles (deg): 90.00 90.00 90.00
Space group P4/mmm (No. 123)
One atom of each set of equivalent atoms:
Cs  0.000  0.000  0.000 [1 per cell]
Nb  0.500  0.500  0.500 [1 per cell]
As  0.500  0.500  0.000 [1 per cell]
Se  0.000  0.500  0.500 [2 per cell]

Computed properties:
- total magnetization (μB/atom) = 0.00
- ΔE_f (raw) (meV/atom) = -541
- Fermi-level density of states (states/eV per atom) = 0.619
- energy (eV/atom) = -5.4555



No. 5
## Ca2Mg (GGA-PBEsol)

Data for Ca2Mg after structural relaxation.

a b c (Å): 5.7727 5.7727 7.0342
angles (deg): 90.00 90.00 120.00
Space group P6_3/mmc (No. 194)
One atom of each set of equivalent atoms:
Ca  0.0000  0.0000  0.0000 [2 per cell]
Ca  0.3333  0.6667  0.2500 [2 per cell]
Mg  0.3333  0.6667  0.7500 [2 per cell]

Computed properties:
- total magnetization (μB/atom) = 0.00
- Fermi-level density of states (states/eV per atom) = 1.046
- energy (eV/atom) = -2.0260



No. 6
## CdCuPt2 (GGA-PBEsol)

Data for CdCuPt2 after structural relaxation.

a b c (Å): 3.962 3.962 7.659
angles (deg): 90.00 90.00 90.00
Space group I4/mmm (No. 139)
One atom of each set of equivalent atoms:
Cd  0.000  0.000  0.000 [2 per cell]
Cu  0.000  0.000  0.500 [2 per cell]
Pt  0.000  0.500  0.250 [4 per cell]

Computed properties:
- total magnetization (μB/atom) = 0.00
- Fermi-level density of states (states/eV per atom) = 0.369
- energy (eV/atom) = -5.0482



No. 7
## CaSiPt (GGA-PBEsol)

Data for CaSiPt after structural relaxation.

a b c (Å): 6.308 6.308 6.308
angles (deg): 90.00 90.00 90.00
Space group P2_13 (No. 198)
One atom of each set of equivalent atoms:
Ca  0.125  0.125  0.125 [4 per cell]
Si  0.169  0.331  0.669 [4 per cell]
Pt  0.078  0.578  0.922 [4 per cell]

Computed properties:
- total magnetization (μB/atom) = 0.00
- ΔE_f (raw) (meV/atom) = -975
- Fermi-level density of states (states/eV per atom) = 0.154
- energy (eV/atom) = -5.9227



No. 8
## ReSbW (GGA-PBEsol)

Data for ReSbW after structural relaxation.

a b c (Å): 6.127 6.127 6.127
angles (deg): 90.00 90.00 90.00
Space group F-43m (No. 216)
One atom of each set of equivalent atoms:
Re  0.000  0.000  0.000 [4 per cell]
Sb  0.250  0.250  0.750 [4 per cell]
W  0.250  0.250  0.250 [4 per cell]

Computed properties:
- polymorph energy (0 for the lowest one) (meV per atom) = 0
- total magnetization (μB/atom) = 0.00
- ΔE_f (raw) (meV/atom) = 363
- Fermi-level density of states (states/eV per atom) = 0.182
- energy (eV/atom) = -10.2030



No. 9
## KRbTc2Sb (GGA-PBEsol)

Data for KRbTc2Sb after structural relaxation.

a b c (Å): 5.029 5.029 6.381
angles (deg): 90.00 90.00 90.00
Space group P4/mmm (No. 123)
One atom of each set of equivalent atoms:
K  0.000  0.000  0.000 [1 per cell]
Rb  0.500  0.500  0.000 [1 per cell]
Tc  0.000  0.500  0.500 [2 per cell]
Sb  0.500  0.500  0.500 [1 per cell]

Computed properties:
- total magnetization (μB/atom) = 0.69
- ΔE_f (raw) (meV/atom) = 1373
- Fermi-level density of states (states/eV per atom) = 1.048
- energy (eV/atom) = -4.4770



No. 10
## KScPb2 (GGA-PBEsol)

Data for KScPb2 after structural relaxation.

a b c (Å): 3.387 4.378 7.812
angles (deg): 90.00 90.00 90.00
Space group Pmmm (No. 47)
One atom of each set of equivalent atoms:
K  0.000  0.000  0.000 [1 per cell]
Sc  0.000  0.000  0.500 [1 per cell]
Pb  0.500  0.500  0.303 [2 per cell]

Computed properties:
- polymorph energy (0 for the lowest one) (meV per atom) = 0
- total magnetization (μB/atom) = 0.00
- Fermi-level density of states (states/eV per atom) = 0.474
- energy (eV/atom) = -4.2375



No. 11
## CeCrGe3 (GGA-PBEsol)

Data for CeCrGe3 after structural relaxation.

a b c (Å): 6.0224 6.0224 5.5769
angles (deg): 90.00 90.00 120.00
Space group P6_3/mmc (No. 194)
One atom of each set of equivalent atoms:
Ce  0.3333  0.6667  0.2500 [2 per cell]
Cr  0.0000  0.0000  0.0000 [2 per cell]
Ge  0.1916  0.3832  0.7500 [6 per cell]

Computed properties:
- total magnetization (μB/atom) = 0.05
- Fermi-level density of states (states/eV per atom) = 0.802
- energy (eV/atom) = -6.7924



No. 12
## Ca2ReW (GGA-PBEsol)

Data for Ca2ReW after structural relaxation.

a b c (Å): 8.169 3.198 7.659
angles (deg): 90.00 94.65 90.00
Space group Cm (No. 8)
One atom of each set of equivalent atoms:
Ca  0.000  0.000  0.000 [2 per cell]
Ca  0.219  0.000  0.608 [2 per cell]
Re  0.473  0.000  0.363 [2 per cell]
W  0.253  0.500  0.250 [2 per cell]

Computed properties:
- polymorph energy (0 for the lowest one) (meV per atom) = 0
- total magnetization (μB/atom) = 0.00
- Fermi-level density of states (states/eV per atom) = 0.705
- energy (eV/atom) = -7.2462



No. 13
## Cs2NaMgF6 (GGA-PBEsol)

Data for Cs2NaMgF6 after structural relaxation.

a b c (Å): 8.658 8.658 8.658
angles (deg): 90.00 90.00 90.00
Space group Fm-3m (No. 225)
One atom of each set of equivalent atoms:
Cs  0.250  0.250  0.250 [8 per cell]
Na  0.000  0.000  0.000 [4 per cell]
Mg  0.000  0.000  0.500 [4 per cell]
F  0.000  0.000  0.269 [24 per cell]

Computed properties:
- total magnetization (μB/atom) = 0.11
- ΔE_f (raw) (meV/atom) = -2732
- Fermi-level density of states (states/eV per atom) = 1.355
- energy (eV/atom) = -4.3890



No. 14
## CuHgSe2O6 (GGA-PBEsol)

Data for CuHgSe2O6 after structural relaxation.

a b c (Å): 7.584 10.464 7.345
angles (deg): 90.00 94.25 90.00
Space group P2_1/c (No. 14)
One atom of each set of equivalent atoms:
Cu  0.183  0.084  0.483 [4 per cell]
Hg  0.239  0.057  0.016 [4 per cell]
Se  0.069  0.723  0.742 [4 per cell]
Se  0.447  0.607  0.184 [4 per cell]
O  0.040  0.621  0.922 [4 per cell]
O  0.050  0.617  0.558 [4 per cell]
O  0.140  0.209  0.287 [4 per cell]
O  0.286  0.010  0.708 [4 per cell]
O  0.368  0.012  0.345 [4 per cell]
O  0.493  0.642  0.411 [4 per cell]

Computed properties:
- total magnetization (μB/atom) = 0.10
- ΔE_f (raw) (meV/atom) = -650
- energy (eV/atom) = -5.0600



No. 15
## Cd3Cu2 (GGA-PBEsol)

Data for Cd3Cu2 after structural relaxation.

a b c (Å): 4.3893 4.3893 5.3097
angles (deg): 90.00 90.00 120.00
Space group P-3m1 (No. 164)
One atom of each set of equivalent atoms:
Cd  0.0000  0.0000  0.0000 [1 per cell]
Cd  0.3333  0.6667  0.3603 [2 per cell]
Cu  0.3333  0.6667  0.8640 [2 per cell]

Computed properties:
- total magnetization (μB/atom) = 0.00
- Fermi-level density of states (states/eV per atom) = 0.357
- energy (eV/atom) = -2.3941



No. 16
## CrCoTe2 (GGA-PBEsol)

Data for CrCoTe2 after structural relaxation.

a b c (Å): 4.624 4.624 3.260
angles (deg): 90.00 90.00 90.00
Space group P4/mmm (No. 123)
One atom of each set of equivalent atoms:
Cr  0.000  0.000  0.000 [1 per cell]
Co  0.500  0.500  0.000 [1 per cell]
Te  0.000  0.500  0.500 [2 per cell]

Computed properties:
- polymorph energy (0 for the lowest one) (meV per atom) = 199
- total magnetization (μB/atom) = 0.90
- ΔE_f (raw) (meV/atom) = 364
- Fermi-level density of states (states/eV per atom) = 0.778
- energy (eV/atom) = -5.8934



No. 17
## Li4CoOF5 (GGA-PBEsol)

Data for Li4CoOF5 after structural relaxation.

a b c (Å): 10.056 3.572 6.504
angles (deg): 90.00 116.14 90.00
Space group C2/m (No. 12)
One atom of each set of equivalent atoms:
Li  0.135  0.000  0.381 [4 per cell]
Li  0.166  0.000  0.803 [4 per cell]
Co  0.000  0.500  0.000 [2 per cell]
O  0.000  0.000  0.000 [2 per cell]
F  0.000  0.000  0.500 [2 per cell]
F  0.146  0.500  0.882 [4 per cell]
F  0.186  0.500  0.322 [4 per cell]

Computed properties:
- total magnetization (μB/atom) = 0.26
- ΔE_f (raw) (meV/atom) = -2438
- Fermi-level density of states (states/eV per atom) = 0.441
- energy (eV/atom) = -5.2099



No. 18
## ZrAgS2F (GGA-PBEsol)

Data for ZrAgS2F after structural relaxation.

a b c (Å): 4.681 4.681 3.882
angles (deg): 90.00 90.00 90.00
Space group P4/mmm (No. 123)
One atom of each set of equivalent atoms:
Zr  0.000  0.000  0.000 [1 per cell]
Ag  0.500  0.500  0.000 [1 per cell]
S  0.000  0.500  0.500 [2 per cell]
F  0.500  0.500  0.500 [1 per cell]

Computed properties:
- total magnetization (μB/atom) = 0.00
- ΔE_f (raw) (meV/atom) = -119
- Fermi-level density of states (states/eV per atom) = 0.479
- energy (eV/atom) = -4.7379



No. 19
## Y3Zr (GGA-PBEsol)

Data for Y3Zr after structural relaxation.

a b c (Å): 6.9518 6.9518 5.4074
angles (deg): 90.00 90.00 120.00
Space group P6_3/mmc (No. 194)
One atom of each set of equivalent atoms:
Y  0.1722  0.3444  0.2500 [6 per cell]
Zr  0.3333  0.6667  0.7500 [2 per cell]

Computed properties:
- polymorph energy (0 for the lowest one) (meV per atom) = 9
- total magnetization (μB/atom) = 0.00
- Fermi-level density of states (states/eV per atom) = 1.970
- energy (eV/atom) = -7.3031



No. 20
## Li3Sb2P3O12 (GGA-PBEsol)

Data for Li3Sb2P3O12 after structural relaxation.

a b c (Å): 13.877 9.418 8.407
angles (deg): 90.00 118.05 90.00
Space group C2/c (No. 15)
One atom of each set of equivalent atoms:
Li  0.184  0.047  0.130 [8 per cell]
Li  0.250  0.250  0.500 [4 per cell]
Sb  0.095  0.258  0.658 [8 per cell]
P  0.000  0.097  0.250 [4 per cell]
P  0.174  0.420  0.078 [8 per cell]
O  0.058  0.370  0.020 [8 per cell]
O  0.069  0.010  0.189 [8 per cell]
O  0.083  0.192  0.411 [8 per cell]
O  0.185  0.414  0.609 [8 per cell]
O  0.215  0.387  0.944 [8 per cell]
O  0.250  0.148  0.732 [8 per cell]

Computed properties:
- polymorph energy (0 for the lowest one) (meV per atom) = 7
- total magnetization (μB/atom) = 0.00
- ΔE_f (raw) (meV/atom) = -2053
- Fermi-level density of states (states/eV per atom) = 0.000
- energy (eV/atom) = -6.8225



No. 21
## TeRhSe2 (GGA-PBEsol)

Data for TeRhSe2 after structural relaxation.

a b c (Å): 6.677 6.677 6.677
angles (deg): 90.00 90.00 90.00
Space group F-43m (No. 216)
One atom of each set of equivalent atoms:
Te  0.000  0.000  0.000 [4 per cell]
Rh  0.250  0.250  0.250 [4 per cell]
Se  0.000  0.000  0.500 [4 per cell]
Se  0.250  0.250  0.750 [4 per cell]

Computed properties:
- total magnetization (μB/atom) = 0.00
- ΔE_f (raw) (meV/atom) = 357
- Fermi-level density of states (states/eV per atom) = 0.782
- energy (eV/atom) = -4.4845



No. 22
## LaNiRh2 (GGA-PBEsol)

Data for LaNiRh2 after structural relaxation.

a b c (Å): 3.066 3.596 5.948
angles (deg): 90.00 90.00 90.00
Space group Pmmm (No. 47)
One atom of each set of equivalent atoms:
La  0.000  0.000  0.000 [1 per cell]
Ni  0.000  0.000  0.500 [1 per cell]
Rh  0.500  0.500  0.286 [2 per cell]

Computed properties:
- polymorph energy (0 for the lowest one) (meV per atom) = 179
- total magnetization (μB/atom) = 0.19
- Fermi-level density of states (states/eV per atom) = 1.402
- energy (eV/atom) = -6.9765



No. 23
## Ag5Sb (GGA-PBEsol)

Data for Ag5Sb after structural relaxation.

a b c (Å): 5.1178 5.1178 4.7049
angles (deg): 90.00 90.00 120.00
Space group P-62m (No. 189)
One atom of each set of equivalent atoms:
Ag  0.0000  0.3421  0.0000 [3 per cell]
Ag  0.3333  0.6667  0.5000 [2 per cell]
Sb  0.0000  0.0000  0.5000 [1 per cell]

Computed properties:
- polymorph energy (0 for the lowest one) (meV per atom) = 1
- total magnetization (μB/atom) = 0.00
- ΔE_f (raw) (meV/atom) = 14
- Fermi-level density of states (states/eV per atom) = 0.313
- energy (eV/atom) = -3.5052



No. 24
## NaTiBePd2 (GGA-PBEsol)

Data for NaTiBePd2 after structural relaxation.

a b c (Å): 4.628 4.628 4.661
angles (deg): 90.00 90.00 90.00
Space group P4/mmm (No. 123)
One atom of each set of equivalent atoms:
Na  0.000  0.000  0.000 [1 per cell]
Ti  0.500  0.500  0.500 [1 per cell]
Be  0.500  0.500  0.000 [1 per cell]
Pd  0.000  0.500  0.500 [2 per cell]

Computed properties:
- total magnetization (μB/atom) = 0.01
- Fermi-level density of states (states/eV per atom) = 0.843
- energy (eV/atom) = -4.4438